Computed, not measured: RbNa3CdHg after structural relaxation at the GGA-PBE level of DFT.

abc: 6.8388 8.5647 9.0301
angles: 118.31 90.00 90.00
Atoms (fractional coordinates):
Hg (0.7500, 0.6426, 0.2852)
Hg (0.2500, 0.3574, 0.7148)
Na (0.5000, 0.6975, 0.0000)
Na (0.5000, 0.3025, 0.0000)
Rb (0.2500, 0.7239, 0.4478)
Na (0.7500, 0.8508, 0.7016)
Cd (0.7500, 0.0471, 0.0942)
Na (0.0000, 0.3025, 0.0000)
Cd (0.2500, 0.9529, 0.9058)
Na (0.2500, 0.1492, 0.2984)
Rb (0.7500, 0.2761, 0.5522)
Na (0.0000, 0.6975, 0.0000)

Results
ΔE_f, meV/atom: -48
Total DFT energy (no corrections), eV for the cell shown: -12.9
Space-group type: Cmcm

***

Computed, not measured: RbNa2CdHg2 after structural relaxation at the GGA-PBE level of DFT.

abc: 4.6639 8.2958 10.5134
angles: 90.00 90.00 90.00
Atoms (fractional coordinates):
Na (0.0000, 0.3809, 0.1600)
Hg (0.5000, 0.7715, 0.6636)
Cd (0.5000, 0.1357, 0.7323)
Na (0.5000, 0.5399, 0.9286)
Na (0.0000, 0.8809, 0.8400)
Cd (0.5000, 0.6357, 0.2677)
Hg (0.5000, 0.2715, 0.3364)
Rb (0.0000, 0.4542, 0.5659)
Na (0.5000, 0.0399, 0.0714)
Hg (0.0000, 0.2634, 0.8854)
Rb (0.0000, 0.9542, 0.4341)
Hg (0.0000, 0.7634, 0.1146)

Results
ΔE_f, meV/atom: -162
Total DFT energy (no corrections), eV for the cell shown: -12.2
Space-group type: Pmc2_1

***

Computed, not measured: NaCd2HgRh after structural relaxation at the GGA-PBE level of DFT.

abc: 5.1964 5.1964 5.2770
angles: 90.00 90.00 90.00
Atoms (fractional coordinates):
Cd (0.5000, 0.0000, 0.0000)
Hg (0.0000, 0.0000, 0.5000)
Rh (0.0000, 0.0000, 0.0000)
Na (0.5000, 0.5000, 0.5000)
Cd (0.0000, 0.5000, 0.0000)

Results
ΔE_f, meV/atom: -13
Total DFT energy (no corrections), eV for the cell shown: -10.9
Space-group type: P4/mmm

***

Computed, not measured: NaCd2HgRh after structural relaxation at the GGA-PBE level of DFT.

abc: 5.1396 5.1396 5.0919
angles: 90.00 90.00 90.00
Last column: magnetic moment on the atom in μB.
Atoms (fractional coordinates):
Na (0.0000, 0.0000, 0.0000)  0.01
Rh (0.5000, 0.5000, 0.5000)  0.97
Hg (0.0000, 0.0000, 0.5000)  0.02
Cd (0.0000, 0.5000, 0.0000)  0.02
Cd (0.5000, 0.0000, 0.0000)  0.02

Results
ΔE_f, meV/atom: 1025
Total DFT energy (no corrections), eV for the cell shown: -5.7
Space-group type: P4/mmm

***

Computed, not measured: Na2CdHgRu after structural relaxation at the GGA-PBE level of DFT.

abc: 5.6563 5.2077 5.6563
angles: 90.00 90.00 90.00
Last column: magnetic moment on the atom in μB.
Atoms (fractional coordinates):
Na (0.5000, 0.0000, 0.0000)  -0.01
Ru (0.0000, 0.0000, 0.0000)  1.35
Hg (0.5000, 0.5000, 0.5000)  -0.01
Na (0.0000, 0.0000, 0.5000)  -0.01
Cd (0.0000, 0.5000, 0.0000)  -0.01

Results
ΔE_f, meV/atom: 707
Total DFT energy (no corrections), eV for the cell shown: -9.6
Space-group type: P4/mmm

***

Computed, not measured: NaCdHgS2 after structural relaxation at the GGA-PBE level of DFT.

abc: 7.0626 6.7741 6.7254
angles: 91.81 90.00 90.00
Atoms (fractional coordinates):
S (0.6801, 0.2247, 0.5067)
S (0.3199, 0.7753, 0.4933)
Na (0.4734, 0.5000, 0.7500)
Hg (0.0000, 0.0000, 0.5000)
S (0.3199, 0.2247, 0.0067)
Cd (0.4997, 0.0000, 0.2500)
Hg (0.0000, 0.0000, 0.0000)
S (0.6801, 0.7753, 0.9933)
Cd (0.5003, 0.0000, 0.7500)
Na (0.5266, 0.5000, 0.2500)

Results
Total DFT energy (no corrections), eV for the cell shown: -25.8
Space-group type: P2/c
E_form (uncorrected), eV per atom: -0.424

***

Computed, not measured: NaScCdHg after structural relaxation at the GGA-PBE level of DFT.

abc: 5.0318 5.0318 5.0318
angles: 60.00 60.00 60.00
Atoms (fractional coordinates):
Cd (0.5000, 0.5000, 0.5000)
Hg (0.0000, 0.0000, 0.0000)
Sc (0.2500, 0.2500, 0.2500)
Na (0.7500, 0.7500, 0.7500)

Results
ΔE_f, meV/atom: -163
Total DFT energy (no corrections), eV for the cell shown: -9.5
Space-group type: F-43m

***

Computed, not measured: NaCdHgSe2 after structural relaxation at the GGA-PBE level of DFT.

abc: 5.3831 6.6466 7.5756
angles: 104.69 90.00 90.00
Atoms (fractional coordinates):
Se (0.6425, 0.3097, 0.5195)
Se (0.3575, 0.3097, 0.0195)
Cd (0.5562, 0.0000, 0.7500)
Cd (0.4438, 0.0000, 0.2500)
Hg (0.0000, 0.0000, 0.5000)
Na (0.8779, 0.5000, 0.2500)
Se (0.3575, 0.6903, 0.4805)
Na (0.1221, 0.5000, 0.7500)
Se (0.6425, 0.6903, 0.9805)
Hg (0.0000, 0.0000, 0.0000)

Results
Total DFT energy (no corrections), eV for the cell shown: -23.0
Space-group type: P2/c
E_form (uncorrected), eV per atom: -0.398